Entry from Alexandria via LeMat-Bulk: LiYBr after structural relaxation (GGA-PBE).

Calculated values
The space group is Fmm2. The offset from the most stable computed form comes out at 138 meV per atom. The value obtained for the final energy is -11.91 eV for the cell shown. For the magnetization, the calculation gives 0.9 μB/f.u.

POSCAR file:
```
LiYBr
1.0
7.670 -0.014 0.009
6.417 3.379 -0.049
1.252 -1.318 3.127
Y Br Li
1 1 1
Direct
0.656 0.656 0.344 Y
0.989 0.989 0.011 Br
0.354 0.354 0.646 Li
```